NpVH2O6: optimized geometry, PBE with a Hubbard U.

Output
V = 12.67 Å³ per atom
energy = -301.410 eV/cell

abc: 10.6844 8.9607 5.3657
angles: 90.00 99.39 90.00
With the nearest neighbours (Å) after each atom.
Space group C2/c (No. 15)
One atom of each set of equivalent atoms:
Np: 0.0000 0.2331 0.2500 [4 per cell]  6 O 2.08-2.10
V: 0.0000 0.4031 0.7500 [4 per cell]  4 O 1.84-2.01
H: 0.1511 0.0015 0.7656 [8 per cell]  1 O 0.99
O: 0.0918 0.4142 0.1079 [8 per cell]  2 V 2.01-2.11, 1 Np 2.10
O: 0.0989 0.2681 0.6122 [8 per cell]  1 V 1.84
O: 0.1224 0.0757 0.1372 [8 per cell]  1 H 0.99